# 1
# Ac2Al4TlAg3 PBE-GGA relaxed
# - calculated density (g/cm3) = 7.7
# - energy of formation (eV per atom) = -0.310
data_Ac2Al4TlAg3
_chemical_formula_sum 'Ac2 Al4 Tl1 Ag3'
_space_group_name_H-M_alt 'P -4 m 2'
_space_group_IT_number 115
_cell_length_a 4.604
_cell_length_b 4.604
_cell_length_c 11.061
_cell_angle_alpha 90.00
_cell_angle_beta 90.00
_cell_angle_gamma 90.00
loop_
_space_group_symop_operation_xyz
'x,y,z'
'y,-x,-z'
'-x,-y,z'
'-y,x,-z'
'-x,y,z'
'-y,-x,-z'
'x,-y,z'
'y,x,-z'
loop_
_atom_site_label
_atom_site_type_symbol
_atom_site_fract_x
_atom_site_fract_y
_atom_site_fract_z
Ac1 Ac 0.000 0.500 0.244
Al1 Al 0.000 0.000 0.000
Al2 Al 0.000 0.500 0.643
Al3 Al 0.500 0.500 0.000
Tl1 Tl 0.000 0.000 0.500
Ag1 Ag 0.000 0.500 0.877
Ag2 Ag 0.500 0.500 0.500

# 2
# Ca2ReNiBr PBE-GGA relaxed
# - formation energy (no corrections) (eV per atom) = 0.325
# - calculated density (g/cm3) = 4.8
data_Ca2ReNiBr
_chemical_formula_sum 'Ca2 Re1 Ni1 Br1'
_space_group_name_H-M_alt 'P 4/m m m'
_space_group_IT_number 123
_space_group_name_Hall '-P 4 2'
_cell_length_a 5.634
_cell_length_b 5.634
_cell_length_c 4.412
_cell_angle_alpha 90.00
_cell_angle_beta 90.00
_cell_angle_gamma 90.00
loop_
_atom_site_label
_atom_site_type_symbol
_atom_site_fract_x
_atom_site_fract_y
_atom_site_fract_z
Ca1 Ca 0.000 0.500 0.000
Re1 Re 0.000 0.000 0.000
Ni1 Ni 0.000 0.000 0.500
Br1 Br 0.500 0.500 0.500

# 3
# Rb2Hg12Au7 PBE-GGA relaxed
# - calculated density (g/cm3) = 12.0
# - energy of formation (eV per atom) = -0.071
data_Rb2Hg12Au7
_chemical_formula_sum 'Rb2 Hg12 Au7'
_space_group_name_H-M_alt 'P -3'
_space_group_IT_number 147
_cell_length_a 11.6358
_cell_length_b 11.6358
_cell_length_c 4.6533
_cell_angle_alpha 90.00
_cell_angle_beta 90.00
_cell_angle_gamma 120.00
loop_
_space_group_symop_operation_xyz
'x,y,z'
'-x,-y,-z'
'-y,x-y,z'
'y,-x+y,-z'
'-x+y,-x,z'
'x-y,x,-z'
loop_
_atom_site_label
_atom_site_type_symbol
_atom_site_fract_x
_atom_site_fract_y
_atom_site_fract_z
Rb1 Rb 0.3333 0.6667 0.2527
Hg1 Hg 0.0652 0.6227 0.7567
Hg2 Hg 0.1246 0.8681 0.2634
Au1 Au 0.0000 0.0000 0.0000
Au2 Au 0.1104 0.4022 0.7476

# 4
# TbPr10Ho4 PBE-GGA relaxed
# - calculated density (g/cm3) = 6.7
# - energy of formation (eV per atom) = 0.420
data_TbPr10Ho4
_chemical_formula_sum 'Tb2 Pr20 Ho8'
_space_group_name_H-M_alt 'I 4/m'
_space_group_IT_number 87
_space_group_name_Hall '-I 4'
_cell_length_a 10.107
_cell_length_b 10.107
_cell_length_c 10.872
_cell_angle_alpha 90.00
_cell_angle_beta 90.00
_cell_angle_gamma 90.00
loop_
_atom_site_label
_atom_site_type_symbol
_atom_site_fract_x
_atom_site_fract_y
_atom_site_fract_z
Tb1 Tb 0.000 0.000 0.000
Pr1 Pr 0.000 0.500 0.250
Pr2 Pr 0.120 0.773 0.167
Ho1 Ho 0.054 0.726 0.500